A relaxed structure of YAg2Sn, computed with PBE.

- final energy (eV/atom) = -4.361

```
data_YAg2Sn
_chemical_formula_sum 'Y4 Ag8 Sn4'
_symmetry_space_group_name_H-M 'F -4 3 m'
_symmetry_Int_Tables_number 216
_symmetry_space_group_name_Hall 'F -4 2 3'
_cell_length_a 7.0310
_cell_length_b 7.0310
_cell_length_c 7.0310
_cell_angle_alpha 90.00
_cell_angle_beta 90.00
_cell_angle_gamma 90.00
loop_
_atom_site_label
_atom_site_fract_x
_atom_site_fract_y
_atom_site_fract_z
_atom_site_occupancy
Y1 0.0000 0.0000 0.0000 1
Ag1 0.0000 0.0000 0.5000 1
Ag2 0.2500 0.2500 0.2500 1
Sn1 0.2500 0.2500 0.7500 1
```